No. 1
Below is a relaxed structure of Li2Ni3WO8, with properties calculated at the GGA-PBEsol level.

- Magnetic moment: 4.02 μB per formula unit
- V: 10.0 A^3/atom
- Distance to the lowest polymorph of the same formula: 43 meV per atom
- E_form (uncorrected): -19.7 eV/f.u.
- Crystal system: monoclinic
- Calculated density: 5.94 g/cm³

```
14
Lattice="5.083 -2.883 0.000 5.083 2.883 0.000 -3.336 0.000 4.784" Properties=species:S:1:pos:R:3 pbc="T T T"
Li 0.065 0.000 1.885
Li 6.765 0.000 2.899
Ni 2.542 1.441 0.000
Ni 2.542 -1.441 0.000
Ni 5.083 0.000 0.000
W 3.415 0.000 2.392
O 1.874 0.000 1.167
O 2.613 1.333 3.517
O 4.217 1.333 1.266
O 0.075 0.000 3.908
O 6.755 0.000 0.875
O 2.613 -1.333 3.517
O 4.217 -1.333 1.266
O 4.956 0.000 3.616
```

No. 2
Below is a relaxed structure of BOs3C, with properties calculated at the GGA-PBEsol level.

- Magnetic moment: 0.00 μB per formula unit
- V: 12.9 A^3/atom
- Crystal system: cubic
- Calculated density: 15.32 g/cm³
- Energy: -8.8114 eV per atom

```
5
Lattice="4.007 0.000 0.000 0.000 4.007 0.000 0.000 0.000 4.007" Properties=species:S:1:pos:R:3 pbc="T T T"
B 0.000 0.000 0.000
Os 0.000 0.000 2.004
Os 0.000 2.004 0.000
Os 2.004 0.000 0.000
C 2.004 2.004 2.004
```

No. 3
Below is a relaxed structure of TeRu2Pt, with properties calculated at the GGA-PBEsol level.

- Magnetic moment: 0.00 μB per formula unit
- V: 15.9 A^3/atom
- E_form (uncorrected): 2.1 eV/f.u.
- Crystal system: cubic
- Calculated density: 13.68 g/cm³

```
16
Lattice="6.339 0.000 0.000 0.000 6.339 0.000 0.000 0.000 6.339" Properties=species:S:1:pos:R:3 pbc="T T T"
Te 0.000 0.000 0.000
Te 0.000 3.170 3.170
Te 3.170 0.000 3.170
Te 3.170 3.170 0.000
Ru 0.000 0.000 3.170
Ru 0.000 3.170 0.000
Ru 1.585 1.585 4.755
Ru 1.585 4.755 1.585
Ru 3.170 0.000 0.000
Ru 3.170 3.170 3.170
Ru 4.755 1.585 1.585
Ru 4.755 4.755 4.755
Pt 1.585 1.585 1.585
Pt 1.585 4.755 4.755
Pt 4.755 1.585 4.755
Pt 4.755 4.755 1.585
```

No. 4
Below is a relaxed structure of TmCO4, with properties calculated at the GGA-PBEsol level.

- Magnetic moment: 1.00 μB per formula unit
- V: 14.0 A^3/atom
- Distance to the lowest polymorph of the same formula: 0 meV per atom
- E_form (uncorrected): -12.4 eV/f.u.
- Crystal system: tetragonal
- Calculated density: 4.84 g/cm³

```
48
Lattice="9.301 0.000 0.000 0.000 9.301 0.000 0.000 0.000 7.770" Properties=species:S:1:pos:R:3 pbc="T T T"
Tm 0.171 4.821 1.942
Tm 0.171 9.131 1.942
Tm 4.480 4.821 1.942
Tm 4.480 9.131 1.942
Tm 4.821 0.171 5.827
Tm 4.821 4.480 5.827
Tm 9.131 0.171 5.827
Tm 9.131 4.480 5.827
C 0.060 6.976 4.584
C 2.325 4.711 7.071
C 2.325 9.241 7.071
C 4.590 6.976 4.584
C 4.711 2.325 3.186
C 6.976 0.060 0.699
C 6.976 4.590 0.699
C 9.241 2.325 3.186
O 0.003 2.325 1.902
O 9.298 6.976 5.868
O 0.030 2.325 6.141
O 0.085 5.849 3.967
O 0.085 8.103 3.967
O 1.198 4.736 7.688
O 1.198 9.216 7.688
O 2.325 0.003 5.786
O 2.325 0.030 2.256
O 2.325 4.621 2.256
O 2.325 4.647 5.786
O 3.453 4.736 7.688
O 3.453 9.216 7.688
O 4.565 5.849 3.967
O 4.565 8.103 3.967
O 4.621 2.325 6.141
O 4.647 2.325 1.902
O 4.654 6.976 5.868
O 4.681 6.976 1.629
O 4.736 1.198 3.803
O 4.736 3.453 3.803
O 5.849 0.085 0.082
O 5.849 4.565 0.082
O 6.976 9.298 1.983
O 6.976 4.654 1.983
O 6.976 4.681 5.514
O 6.976 9.271 5.514
O 8.103 0.085 0.082
O 8.103 4.565 0.082
O 9.216 1.198 3.803
O 9.216 3.453 3.803
O 9.271 6.976 1.629
```

No. 5
Below is a relaxed structure of Al2HgSb2, with properties calculated at the GGA-PBEsol level.

- Magnetic moment: 0.00 μB per formula unit
- V: 23.1 A^3/atom
- E_form (uncorrected): 0.8 eV/f.u.
- Crystal system: tetragonal
- Calculated density: 7.16 g/cm³

```
10
Lattice="8.207 0.000 0.000 0.000 8.207 0.000 0.000 0.000 3.431" Properties=species:S:1:pos:R:3 pbc="T T T"
Al 1.109 2.995 0.000
Al 2.995 7.098 0.000
Al 5.213 1.109 0.000
Al 7.098 5.213 0.000
Hg 0.000 0.000 1.715
Hg 4.104 4.104 1.715
Sb 1.308 5.412 1.715
Sb 2.796 1.308 1.715
Sb 5.412 6.899 1.715
Sb 6.899 2.796 1.715
```

No. 6
Below is a relaxed structure of LaSbAs2, with properties calculated at the GGA-PBEsol level.

- Magnetic moment: 0.00 μB per formula unit
- V: 25.4 A^3/atom
- E_form (uncorrected): -3.2 eV/f.u.
- Crystal system: monoclinic
- Calculated density: 6.71 g/cm³

```
4
Lattice="4.224 0.000 0.000 0.000 4.258 0.000 -2.108 0.000 5.648" Properties=species:S:1:pos:R:3 pbc="T T T"
La 0.000 0.000 0.000
Sb -0.476 2.129 2.603
As -0.017 2.129 5.147
As 2.027 0.000 2.419
```

No. 7
Below is a relaxed structure of Na2US3, with properties calculated at the GGA-PBEsol level.

- Magnetic moment: 2.00 μB per formula unit
- V: 22.2 A^3/atom
- E_form (uncorrected): -7.9 eV/f.u.
- Crystal system: monoclinic
- Calculated density: 4.75 g/cm³

```
12
Lattice="3.429 -5.935 0.000 3.429 5.935 0.000 -2.300 0.000 6.538" Properties=species:S:1:pos:R:3 pbc="T T T"
Na 0.000 0.000 0.000
Na 2.279 4.038 3.269
Na 2.279 0.000 3.269
Na 2.279 -4.038 3.269
U 3.429 1.984 0.000
U 3.429 -1.984 0.000
S 1.218 2.106 1.490
S 0.129 0.000 5.041
S 1.218 -2.106 1.490
S 3.340 2.106 5.048
S 4.429 0.000 1.497
S 3.340 -2.106 5.048
```

No. 8
Below is a relaxed structure of La4TaCo, with properties calculated at the GGA-PBEsol level.

- Magnetic moment: 2.86 μB per formula unit
- V: 26.7 A^3/atom
- Crystal system: cubic
- Calculated density: 8.24 g/cm³
- Energy: -5.7985 eV per atom

```
6
Lattice="0.000 4.312 4.312 4.312 0.000 4.312 4.312 4.312 0.000" Properties=species:S:1:pos:R:3 pbc="T T T"
La 1.077 1.077 1.077
La 3.235 3.235 1.077
La 3.235 1.077 3.235
La 1.077 3.235 3.235
Ta 4.312 4.312 4.312
Co 6.467 6.467 6.467
```